Record 1
Here is a relaxed structure of KU2ZnO8 from Alexandria. Energies are from PBE.

Summary:
**Space group**: P2/m

a = 5.1222 Å, b = 5.1188 Å, c = 7.0218 Å
α = 90.00°, β = 90.00°, γ = 84.17°
Last column: nearest neighbours and their distance in Å.
Atoms (fractional coordinates):
1 K 0.0000 0.0000 0.5000  6 O 2.52-2.57
2 O 0.3262 0.3244 0.0000  2 U 2.17
3 O 0.7836 0.2183 0.2100  1 U 1.96, 1 Zn 2.10
4 O 0.6602 0.6625 0.5000  2 U 2.17
5 O 0.2163 0.7816 0.2100  1 U 1.96, 1 Zn 2.10
6 O 0.2164 0.7817 0.7900  1 U 1.96, 1 Zn 2.10
7 O 0.3398 0.3375 0.5000  2 U 2.17
8 O 0.6738 0.6756 0.0000  2 U 2.17
9 O 0.7837 0.2184 0.7900  1 U 1.96, 1 Zn 2.10
10 U 0.5000 0.5000 0.7550  6 O 1.96-2.17
11 U 0.5000 0.5000 0.2450  6 O 1.96-2.17
12 Zn 0.0000 0.0000 0.0000  4 O 2.10



Record 2
Here is a relaxed structure of KUZn2O6 from Alexandria. Energies are from PBE.

Summary:
**Space group**: C2/c

a = 6.5490 Å, b = 7.4226 Å, c = 7.4226 Å
α = 88.58°, β = 77.55°, γ = 77.55°
Last column: nearest neighbours and their distance in Å.
Atoms (fractional coordinates):
1 O 0.1939 0.5898 0.7185  2 Zn 1.93-2.03
2 O 0.2408 0.0057 0.7332  1 Zn 1.93, 1 U 2.09
3 O 0.0635 0.6527 0.2452  1 U 1.96, 1 Zn 2.02
4 O 0.9365 0.3473 0.7548  1 U 1.96, 1 Zn 2.02
5 O 0.3061 0.2815 0.4102  2 Zn 1.93-2.03
6 O 0.4365 0.7548 0.3473  1 U 1.96, 1 Zn 2.02
7 O 0.8061 0.4102 0.2815  2 Zn 1.93-2.03
8 O 0.7592 0.9943 0.2668  1 Zn 1.93, 1 U 2.09
9 O 0.2592 0.2668 0.9943  1 Zn 1.93, 1 U 2.09
10 O 0.5635 0.2452 0.6527  1 U 1.96, 1 Zn 2.02
11 O 0.7408 0.7332 0.0057  1 Zn 1.93, 1 U 2.09
12 O 0.6939 0.7185 0.5898  2 Zn 1.93-2.03
13 U 0.7500 0.7143 0.2857  4 O 1.96-2.09
14 U 0.2500 0.2857 0.7143  4 O 1.96-2.09
15 Zn 0.3701 0.7634 0.6255  4 O 1.93-2.03
16 Zn 0.1299 0.3745 0.2366  4 O 1.93-2.03
17 Zn 0.6299 0.2366 0.3745  4 O 1.93-2.03
18 Zn 0.8701 0.6255 0.7634  4 O 1.93-2.03
19 K 0.7500 0.0910 0.9090  4 O 2.59-2.74
20 K 0.2500 0.9090 0.0910  4 O 2.59-2.74



| no. | E_form (uncorrected) (meV per atom) |
| --- | --- |
| 1 | -2390 |
| 2 | -1953 |